Record 1
The following is a DFT calculation (PBE-GGA) of an optimized crystal structure of NaInSn.

energy of formation from the pure elements	-11.0	kJ/mol of atoms
DOS(E_F)	1.0	states/eV/f.u.
magnetization	0.000	μB per atom

abc: 3.5079 5.6848 8.6551
angles: 70.88 87.16 89.92
Closest atoms and distances in Å follow each position.
Space group P1 (No. 1)
Asymmetric unit:
Na1 0.0000 0.0000 0.0000 x1  6 Sn 3.35-3.41, 3 In 3.37-3.64, 4 Na 3.51-3.68
Na2 0.0205 0.6439 0.7162 x1  6 Sn 3.35-3.43, 3 In 3.37-3.65, 4 Na 3.51-3.68
In1 0.0085 0.1142 0.3582 x1  4 Sn 3.06-3.32, 2 In 3.17-3.18, 2 Na 3.37
In2 0.5083 0.6495 0.3577 x1  2 Sn 3.01-3.02, 2 In 3.17-3.18
Sn1 0.4802 0.4678 0.0678 x1  3 In 3.02-3.31, 4 Na 3.35-3.37
Sn2 0.5408 0.1812 0.6485 x1  3 In 3.01-3.32, 3 Na 3.35-3.37

Record 2
The following is a DFT calculation (PBE-GGA) of an optimized crystal structure of Ba6NaHN.

total energy	-2.83	eV per atom
DOS(E_F)	9.9	states/eV/f.u.
magnetization	0.130	μB per atom

abc: 7.7702 7.7702 7.5621
angles: 90.00 90.00 120.00
Closest atoms and distances in Å follow each position.
Space group P312 (No. 149)
Asymmetric unit:
Ba1 0.0607 0.3577 0.2148 x6  1 N 2.79, 1 H 3.05
Na1 0.6667 0.3333 0.5000 x1  6 Ba 3.67
H1 0.0000 0.0000 0.0000 x1  6 Ba 3.05
N1 0.3333 0.6667 0.0000 x1  6 Ba 2.79

- What is the magnetization in the second record?
  0.130 μB per atom

Copy entry 1 word for word.
The following is a DFT calculation (PBE-GGA) of an optimized crystal structure of NaInSn.

energy of formation from the pure elements	-11.0	kJ/mol of atoms
DOS(E_F)	1.0	states/eV/f.u.
magnetization	0.000	μB per atom

abc: 3.5079 5.6848 8.6551
angles: 70.88 87.16 89.92
Closest atoms and distances in Å follow each position.
Space group P1 (No. 1)
Asymmetric unit:
Na1 0.0000 0.0000 0.0000 x1  6 Sn 3.35-3.41, 3 In 3.37-3.64, 4 Na 3.51-3.68
Na2 0.0205 0.6439 0.7162 x1  6 Sn 3.35-3.43, 3 In 3.37-3.65, 4 Na 3.51-3.68
In1 0.0085 0.1142 0.3582 x1  4 Sn 3.06-3.32, 2 In 3.17-3.18, 2 Na 3.37
In2 0.5083 0.6495 0.3577 x1  2 Sn 3.01-3.02, 2 In 3.17-3.18
Sn1 0.4802 0.4678 0.0678 x1  3 In 3.02-3.31, 4 Na 3.35-3.37
Sn2 0.5408 0.1812 0.6485 x1  3 In 3.01-3.32, 3 Na 3.35-3.37

- The highest DOS(E_F) belongs to which entry?
  Ba6NaHN

- Among the records above, which one has the highest magnetization?
  Ba6NaHN